No. 1
{
  "formula": "Sm5ErSc3",
  "functional": "PBE",
  "state": "optimized geometry",
  "lattice_angstrom": [[-6.7970, 2.5718, 3.3421], [-3.5904, -6.8023, -2.1954], [-4.9995, -7.2003, 9.2940]],
  "species": ["Sc", "Sm", "Sm", "Sc", "Er", "Sc", "Sc", "Sm", "Sm", "Sm", "Er", "Sc", "Sm", "Sm", "Sm", "Sc", "Sm", "Sm"],
  "fractional_positions": [[0.3284, 0.3284, 0.6724], [0.3387, 0.3387, 0.4211], [0.5726, 0.0576, 0.6550], [0.6646, 0.6646, 0.8336], [0.0004, 0.0004, 0.2518], [0.0000, 0.0000, 0.5000], [0.0000, 0.0000, 0.0000], [0.4274, 0.9424, 0.3450], [0.6613, 0.6613, 0.5789], [0.0576, 0.5726, 0.6550], [0.9996, 0.9996, 0.7482], [0.3354, 0.3354, 0.1664], [0.9424, 0.4274, 0.3450], [0.3339, 0.3339, 0.9148], [0.2551, 0.7449, 0.0000], [0.6716, 0.6716, 0.3276], [0.7449, 0.2551, 0.0000], [0.6661, 0.6661, 0.0852]],
  "formation_energy_ev_per_atom": 0.4947,
  "dos_at_fermi_per_ev_fu": 14.82,
  "dft_energy_ev_per_cell": -85.40
}



No. 2
{
  "formula": "Sm4Er5Sc",
  "functional": "PBE",
  "state": "optimized geometry",
  "lattice_angstrom": [[3.4590, 0.0000, -0.7537], [-0.2759, 9.8845, -1.2663], [0.1981, -1.3881, 9.2226]],
  "species": ["Er", "Sm", "Sm", "Sm", "Sc", "Er", "Er", "Sm", "Er", "Er"],
  "fractional_positions": [[0.3008, 0.4006, 0.6017], [0.6994, 0.0998, 0.3989], [0.3006, 0.9002, 0.6011], [0.9026, 0.7042, 0.8053], [0.5000, 0.0000, 0.0000], [0.6992, 0.5994, 0.3983], [0.0983, 0.8018, 0.1967], [0.0974, 0.2958, 0.1947], [0.9017, 0.1982, 0.8033], [0.5000, 0.5000, 0.0000]],
  "formation_energy_ev_per_atom": 0.0308,
  "de_polymorph_mev_per_atom": 0,
  "dos_at_fermi_per_ev_fu": 13.01,
  "dft_energy_ev_per_cell": -47.71
}



No. 3
{
  "formula": "Sm3Er4Sc",
  "functional": "PBE",
  "state": "optimized geometry",
  "lattice_angstrom": [[-1.6609, -0.0023, -5.9809], [6.0156, -3.5995, -1.6691], [-5.3880, -9.7000, 1.5000]],
  "species": ["Er", "Er", "Er", "Sm", "Sm", "Sm", "Sm", "Er", "Er", "Sm", "Sc", "Er", "Sm", "Sc", "Er", "Er"],
  "fractional_positions": [[0.4839, 0.8754, 0.2551], [0.9839, 0.1246, 0.2449], [0.6461, 0.1233, 0.0000], [0.6475, 0.6260, 0.0000], [0.9791, 0.6240, 0.2501], [0.4791, 0.3760, 0.7501], [0.1475, 0.3740, 0.5000], [0.4839, 0.8754, 0.7449], [0.1506, 0.8756, 0.0000], [0.9791, 0.6240, 0.7499], [0.1451, 0.3712, 0.0000], [0.1461, 0.8767, 0.5000], [0.4791, 0.3760, 0.2499], [0.6451, 0.6288, 0.5000], [0.6506, 0.1244, 0.5000], [0.9839, 0.1246, 0.7551]],
  "formation_energy_ev_per_atom": 0.0232,
  "de_polymorph_mev_per_atom": 0,
  "dos_at_fermi_per_ev_fu": 13.58,
  "dft_energy_ev_per_cell": -77.11
}